A plane-wave DFT calculation with GGA-PBE was carried out for a relaxed structure of ErTm2FeSn3Ir2.

Unit cell a=3.6927 b=7.5841 c=7.5841 alpha=120.04 beta=90.00 gamma=90.00
Last column: nearest neighbours and their distance in Å.
Atoms (fractional coordinates):
Er: 0.0000 0.0000 0.0000  4 Ir 2.96, 1 Fe 3.08, 6 Sn 3.14-3.27
Tm: 0.0000 0.4063 0.8126  4 Ir 2.95, 1 Fe 3.08, 6 Sn 3.14-3.27
Tm: 0.0000 0.8126 0.4063  4 Ir 2.95, 1 Fe 3.08, 6 Sn 3.14-3.27
Fe: 0.0000 0.4066 0.4066  6 Sn 2.69
Sn: 0.5000 0.1478 0.4064  2 Fe 2.69, 2 Ir 2.85-2.86
Sn: 0.5000 0.4064 0.1478  2 Fe 2.69, 2 Ir 2.85-2.86
Sn: 0.5000 0.6649 0.6649  2 Fe 2.69, 2 Ir 2.86
Ir: 0.5000 0.0732 0.7389  3 Sn 2.85-2.86, 4 Tm 2.95, 2 Er 2.96
Ir: 0.5000 0.7389 0.0732  3 Sn 2.85-2.86, 4 Tm 2.95, 2 Er 2.96

Computed properties:
The raw total energy comes out at -6.426 eV per atom.

A plane-wave DFT calculation with GGA-PBE was carried out for a relaxed structure of Er2TmFeSn3Ir2.

Unit cell a=3.7180 b=7.5662 c=7.5662 alpha=119.90 beta=90.00 gamma=90.00
Last column: nearest neighbours and their distance in Å.
Atoms (fractional coordinates):
Er: 0.0000 0.2035 0.7965  4 Ir 2.96, 1 Fe 3.08, 6 Sn 3.15-3.28
Er: 0.0000 0.7965 0.2035  4 Ir 2.96, 1 Fe 3.08, 6 Sn 3.15-3.28
Tm: 0.0000 0.3897 0.3897  4 Ir 2.94, 1 Fe 3.08, 6 Sn 3.15-3.27
Fe: 0.0000 0.7960 0.7960  6 Sn 2.69-2.70
Sn: 0.5000 0.0540 0.0540  2 Fe 2.70, 2 Ir 2.85
Sn: 0.5000 0.5392 0.7958  2 Fe 2.69, 2 Ir 2.85-2.87
Sn: 0.5000 0.7958 0.5392  2 Fe 2.69, 2 Ir 2.85-2.87
Ir: 0.5000 0.1310 0.4628  3 Sn 2.85-2.87, 2 Tm 2.94, 4 Er 2.96
Ir: 0.5000 0.4628 0.1310  3 Sn 2.85-2.87, 2 Tm 2.94, 4 Er 2.96

Computed properties:
The raw total energy comes out at -6.435 eV per atom.

A plane-wave DFT calculation with GGA-PBE was carried out for a relaxed structure of KErFeS3.

Unit cell a=7.3565 b=7.3565 c=10.3301 alpha=90.00 beta=90.00 gamma=148.98
Last column: nearest neighbours and their distance in Å.
Atoms (fractional coordinates):
K: 0.2431 0.7569 0.7500  6 S 3.25-3.33
K: 0.7569 0.2431 0.2500  6 S 3.25-3.33
Er: 0.5000 0.5000 0.0000  6 S 2.72
Er: 0.5000 0.5000 0.5000  6 S 2.72
Fe: 0.0329 0.9671 0.2500  4 S 2.28-2.37
Fe: 0.9671 0.0329 0.7500  4 S 2.28-2.37
S: 0.1229 0.8771 0.0667  1 Fe 2.28
S: 0.1229 0.8771 0.4333  1 Fe 2.28
S: 0.4392 0.5608 0.2500  2 Fe 2.37
S: 0.5608 0.4392 0.7500  2 Fe 2.37
S: 0.8771 0.1229 0.5667  1 Fe 2.28
S: 0.8771 0.1229 0.9333  1 Fe 2.28

Computed properties:
The raw total energy comes out at -5.726 eV per atom.

A plane-wave DFT calculation with GGA-PBE was carried out for a relaxed structure of KErFeS3.

Unit cell a=10.3489 b=3.9405 c=14.0434 alpha=90.00 beta=90.00 gamma=90.00
Last column: nearest neighbours and their distance in Å.
Atoms (fractional coordinates):
K: 0.2363 0.2500 0.0072  7 S 3.24-3.51
K: 0.2637 0.7500 0.5072  7 S 3.24-3.51
K: 0.7363 0.2500 0.4928  7 S 3.24-3.51
K: 0.7637 0.7500 0.9928  7 S 3.24-3.51
Er: 0.0045 0.7500 0.2547  6 S 2.71-2.73
Er: 0.4955 0.2500 0.7547  6 S 2.71-2.73
Er: 0.5045 0.7500 0.2453  6 S 2.71-2.73
Er: 0.9955 0.2500 0.7453  6 S 2.71-2.73
Fe: 0.2454 0.7500 0.7835  4 S 2.28-2.37
Fe: 0.2546 0.2500 0.2835  4 S 2.28-2.37
Fe: 0.7454 0.7500 0.7165  4 S 2.28-2.37
Fe: 0.7546 0.2500 0.2165  4 S 2.28-2.37
S: 0.0590 0.7500 0.8702  1 Fe 2.28
S: 0.0746 0.2500 0.3770  1 Fe 2.28
S: 0.2472 0.2500 0.6897  2 Fe 2.37
S: 0.2528 0.7500 0.1897  2 Fe 2.37
S: 0.4254 0.7500 0.8770  1 Fe 2.28
S: 0.4410 0.2500 0.3702  1 Fe 2.28
S: 0.5590 0.7500 0.6298  1 Fe 2.28
S: 0.5746 0.2500 0.1230  1 Fe 2.28
S: 0.7472 0.2500 0.8103  2 Fe 2.37
S: 0.7528 0.7500 0.3103  2 Fe 2.37
S: 0.9254 0.7500 0.6230  1 Fe 2.28
S: 0.9410 0.2500 0.1298  1 Fe 2.28

Computed properties:
The raw total energy comes out at -5.725 eV per atom.

A plane-wave DFT calculation with GGA-PBE was carried out for a relaxed structure of KErFeS3.

Unit cell a=8.7232 b=3.9197 c=9.2552 alpha=90.00 beta=107.74 gamma=90.00
Last column: nearest neighbours and their distance in Å.
Atoms (fractional coordinates):
K: 0.2058 0.2500 0.2341  7 S 3.18-3.42
K: 0.7942 0.7500 0.7659  7 S 3.18-3.42
Er: 0.3344 0.7500 0.8527  6 S 2.68-2.81
Er: 0.6656 0.2500 0.1473  6 S 2.68-2.81
Fe: 0.0759 0.2500 0.5931  4 S 2.27-2.38
Fe: 0.9241 0.7500 0.4069  4 S 2.27-2.38
S: 0.1129 0.2500 0.8469  1 Fe 2.27
S: 0.2011 0.7500 0.5350  3 Fe 2.35-2.38
S: 0.4564 0.7500 0.1556  3 Er 2.68-2.70
S: 0.5436 0.2500 0.8444  3 Er 2.68-2.70
S: 0.7989 0.2500 0.4650  3 Fe 2.35-2.38
S: 0.8871 0.7500 0.1531  1 Fe 2.27

Computed properties:
The raw total energy comes out at -5.742 eV per atom.

A plane-wave DFT calculation with GGA-PBE was carried out for a relaxed structure of KErFeTe3.

Unit cell a=8.2675 b=8.2675 c=11.3552 alpha=90.00 beta=90.00 gamma=149.73
Last column: nearest neighbours and their distance in Å.
Atoms (fractional coordinates):
K: 0.2490 0.7510 0.7500  6 Te 3.58-3.60
K: 0.7510 0.2490 0.2500  6 Te 3.58-3.60
Er: 0.5000 0.5000 0.0000  6 Te 3.05-3.06
Er: 0.5000 0.5000 0.5000  6 Te 3.05-3.06
Fe: 0.0312 0.9688 0.2500  4 Te 2.62-2.70
Fe: 0.9688 0.0312 0.7500  4 Te 2.62-2.70
Te: 0.1282 0.8718 0.0635  1 Fe 2.62
Te: 0.1282 0.8718 0.4365  1 Fe 2.62
Te: 0.4296 0.5704 0.2500  2 Fe 2.70
Te: 0.5704 0.4296 0.7500  2 Fe 2.70
Te: 0.8718 0.1282 0.5635  1 Fe 2.62
Te: 0.8718 0.1282 0.9365  1 Fe 2.62

Computed properties:
The raw total energy comes out at -4.751 eV per atom.

A plane-wave DFT calculation with GGA-PBE was carried out for a relaxed structure of LaErFe2Si2.

Unit cell a=4.0456 b=4.0456 c=6.7288 alpha=90.00 beta=90.00 gamma=90.00
Last column: nearest neighbours and their distance in Å.
Atoms (fractional coordinates):
La: 0.0000 0.0000 0.0000  4 Fe 3.05, 6 Si 3.08-3.40
Er: 0.5000 0.5000 0.3702  4 Fe 2.82, 5 Si 2.98-3.11
Fe: 0.0000 0.5000 0.6617  4 Si 2.31-2.32
Fe: 0.5000 0.0000 0.6617  4 Si 2.31-2.32
Si: 0.0000 0.0000 0.4950  4 Fe 2.31
Si: 0.5000 0.5000 0.8321  4 Fe 2.32

Computed properties:
The raw total energy comes out at -6.768 eV per atom.

A plane-wave DFT calculation with GGA-PBE was carried out for a relaxed structure of LiErFe.

Unit cell a=4.4592 b=4.4592 c=4.4592 alpha=60.00 beta=60.00 gamma=60.00
Last column: nearest neighbours and their distance in Å.
Atoms (fractional coordinates):
Li: 0.0000 0.0000 0.0000  4 Fe 2.73
Er: 0.5000 0.5000 0.5000  4 Fe 2.73
Fe: 0.7500 0.7500 0.7500  4 Li 2.73, 4 Er 2.73

Computed properties:
The raw total energy comes out at -4.328 eV per atom.

A plane-wave DFT calculation with GGA-PBE was carried out for a relaxed structure of LiErFe.

Unit cell a=4.5178 b=4.5178 c=4.5178 alpha=60.00 beta=60.00 gamma=60.00
Last column: nearest neighbours and their distance in Å.
Atoms (fractional coordinates):
Li: 0.0000 0.0000 0.0000  4 Er 2.77
Er: 0.7500 0.7500 0.7500  4 Fe 2.77, 4 Li 2.77
Fe: 0.5000 0.5000 0.5000  4 Er 2.77

Computed properties:
The raw total energy comes out at -3.988 eV per atom.

A plane-wave DFT calculation with GGA-PBE was carried out for a relaxed structure of ErLuFe2.

Unit cell a=3.7819 b=5.4149 c=7.5559 alpha=90.00 beta=90.00 gamma=90.00
Last column: nearest neighbours and their distance in Å.
Atoms (fractional coordinates):
Er: 0.0000 0.1439 0.0000  7 Fe 2.82-3.05
Er: 0.0000 0.8561 0.5000  7 Fe 2.82-3.05
Lu: 0.5000 0.3559 0.6453  7 Fe 2.78-3.10
Lu: 0.5000 0.6441 0.1453  7 Fe 2.78-3.10
Fe: 0.0000 0.3325 0.3495  2 Fe 2.11
Fe: 0.0000 0.6675 0.8495  2 Fe 2.11
Fe: 0.5000 0.1761 0.2981  2 Fe 2.11
Fe: 0.5000 0.8239 0.7981  2 Fe 2.11

Computed properties:
The energy relative to the elements comes out at -69 meV per atom.

Going through the records in order, we get magnetic moment values of 1.599 1.637 3.996 3.999 3.971 3.974 0.028 1.737 1.811 0.006 μB/f.u..